Record 1
BaTbNO: optimized geometry, GGA-PBE.

Cell: 3.9029 6.2479 7.2510 Å, 90.00 90.00 90.00°
Closest atoms and distances in Å follow each position.
Positions (direct):
Ba 0.0000 0.4865 0.3341  2 O 2.61, 2 N 2.70-2.72
Tb 0.5000 0.9973 0.1538  2 O 2.22, 2 N 2.27
Tb 0.5000 0.4973 0.8462  2 O 2.22, 2 N 2.27
O 0.5000 0.3506 0.1254  2 Tb 2.22
O 0.5000 0.8506 0.8746  2 Tb 2.22
N 0.0000 0.4195 0.7013  2 Tb 2.27
N 0.0000 0.9195 0.2987  2 Tb 2.27
Ba 0.0000 0.9865 0.6659  2 O 2.61, 2 N 2.70-2.72

Summary:
magnetization: 0.000 μB/atom
space group: Pmc2_1
distance to the lowest polymorph of the same formula: 0 meV/atom
crystal system: orthorhombic
calculated volume: 22.10 Å³/atom


Record 2
HfScSi4: optimized geometry, GGA-PBE.

Cell: 3.6603 7.5238 7.5238 Å, 28.55 90.00 90.00°
Closest atoms and distances in Å follow each position.
Positions (direct):
Si 0.0000 0.2497 0.2497  4 Si 2.61, 2 Hf 2.81, 2 Sc 2.82
Si 0.5000 0.0525 0.0525  2 Si 2.40
Si 0.0000 0.9459 0.9459  2 Si 2.40
Si 0.5000 0.7502 0.7502  4 Si 2.61, 2 Hf 2.80, 2 Sc 2.83
Sc 0.5000 0.3971 0.3971  10 Si 2.70-2.93
Hf 0.0000 0.6047 0.6047  10 Si 2.72-2.97

Summary:
magnetization: 0.000 μB/atom
space group: Amm2
energy: -41.37 eV for the cell shown
crystal system: orthorhombic
calculated volume: 16.51 Å³/atom


Record 3
TbNdCu2As4: optimized geometry, GGA-PBE.

Cell: 3.9502 3.9502 10.0145 Å, 90.00 90.00 90.00°
Closest atoms and distances in Å follow each position.
Positions (direct):
As 0.0000 0.5000 0.9934  4 As 2.79, 2 Tb 3.06
Nd 0.0000 0.0000 0.2359  8 As 3.02-3.13, 4 Cu 3.33
Cu 0.0000 0.5000 0.5039  4 As 2.51-2.52, 4 Cu 2.79
Tb 0.5000 0.5000 0.7604  8 As 2.97-3.06, 4 Cu 3.24
As 0.0000 0.0000 0.6597  4 Cu 2.52
As 0.5000 0.5000 0.3493  4 Cu 2.51
Cu 0.5000 0.0000 0.5039  4 As 2.51-2.52, 4 Cu 2.79
As 0.5000 0.0000 0.9934  4 As 2.79, 2 Tb 3.06

Summary:
magnetization: 0.000 μB/atom
space group: P4mm
energy: -42.09 eV for the cell shown
crystal system: tetragonal
calculated volume: 19.53 Å³/atom


Record 4
TaTl2Cu: optimized geometry, GGA-PBE.

Cell: 4.9151 4.9151 4.9151 Å, 60.00 60.00 60.00°
Closest atoms and distances in Å follow each position.
Positions (direct):
Tl 0.7500 0.7500 0.7500  4 Ta 3.01, 4 Tl 3.01
Tl 0.0000 0.0000 0.0000  4 Tl 3.01, 4 Cu 3.01
Cu 0.2500 0.2500 0.2500  4 Ta 3.01, 4 Tl 3.01
Ta 0.5000 0.5000 0.5000  4 Tl 3.01, 4 Cu 3.01

Summary:
magnetization: 0.489 μB/atom
space group: F-43m
energy: -16.48 eV for the cell shown
crystal system: cubic
calculated volume: 20.99 Å³/atom


Record 5
YTaFeSn: optimized geometry, GGA-PBE.

Cell: 4.7828 4.7828 4.7828 Å, 60.00 60.00 60.00°
Closest atoms and distances in Å follow each position.
Positions (direct):
Y 0.5000 0.5000 0.5000  4 Ta 2.93, 4 Fe 2.93
Fe 0.7500 0.7500 0.7500  4 Y 2.93, 4 Sn 2.93
Sn 0.0000 0.0000 0.0000  4 Ta 2.93, 4 Fe 2.93
Ta 0.2500 0.2500 0.2500  4 Y 2.93, 4 Sn 2.93

Summary:
magnetization: 0.503 μB/atom
space group: F-43m
distance to the lowest polymorph of the same formula: 0 meV/atom
crystal system: cubic
calculated volume: 19.34 Å³/atom


Record 6
PrSmTl2Hg2: optimized geometry, GGA-PBE.

Cell: 4.9511 4.9511 7.7012 Å, 90.00 90.00 120.00°
Closest atoms and distances in Å follow each position.
Positions (direct):
Tl 0.6667 0.3333 0.9606  4 Hg 2.94-3.21
Sm 0.0000 0.0000 0.2445  3 Hg 3.22, 6 Tl 3.29-3.60
Pr 0.0000 0.0000 0.7447  3 Hg 3.25, 6 Tl 3.31-3.62
Hg 0.3333 0.6667 0.0513  4 Tl 2.94-3.11, 3 Sm 3.22
Tl 0.3333 0.6667 0.4552  4 Hg 2.94-3.11, 3 Sm 3.29
Hg 0.6667 0.3333 0.5436  4 Tl 2.94-3.21, 3 Pr 3.25

Summary:
magnetization: 0.002 μB/atom
space group: P3m1
energy: -17.14 eV for the cell shown
crystal system: trigonal
calculated volume: 27.25 Å³/atom


Record 7
SmS: optimized geometry, GGA-PBE.

Cell: 3.9875 3.9947 4.0049 Å, 60.35 60.27 60.19°
Closest atoms and distances in Å follow each position.
Positions (direct):
Sm 0.5000 0.5000 0.5000  6 S 2.83
S 0.0000 0.0000 0.0000  6 Sm 2.83

Summary:
magnetization: 0.000 μB/atom
space group: C2/m
distance to the lowest polymorph of the same formula: 1 meV/atom
crystal system: monoclinic
calculated volume: 22.69 Å³/atom


Record 8
GdMgZn: optimized geometry, GGA-PBE.

Cell: 3.3765 3.3765 14.5312 Å, 90.00 90.00 120.00°
Closest atoms and distances in Å follow each position.
Positions (direct):
Zn 0.3333 0.6667 0.8978  3 Mg 2.86, 3 Gd 3.07
Mg 0.6667 0.3333 0.0418  3 Zn 2.86
Mg 0.3333 0.6667 0.5418  3 Zn 2.86
Zn 0.6667 0.3333 0.3978  3 Mg 2.86, 3 Gd 3.07
Gd 0.6667 0.3333 0.7347  3 Zn 3.07, 6 Gd 3.38, 3 Mg 3.41
Gd 0.3333 0.6667 0.2347  3 Zn 3.07, 6 Gd 3.38, 3 Mg 3.41

Summary:
magnetization: 0.002 μB/atom
space group: P6_3mc
energy: -14.92 eV for the cell shown
crystal system: hexagonal
calculated volume: 23.91 Å³/atom


Record 9
Sc2CoSn: optimized geometry, GGA-PBE.

Cell: 4.6660 4.6660 4.6660 Å, 60.00 60.00 60.00°
Closest atoms and distances in Å follow each position.
Positions (direct):
Sc 0.7500 0.7500 0.7500  4 Sn 2.86, 4 Sc 2.86
Sc 0.0000 0.0000 0.0000  4 Sc 2.86, 4 Co 2.86
Co 0.2500 0.2500 0.2500  4 Sc 2.86, 4 Sn 2.86
Sn 0.5000 0.5000 0.5000  4 Sc 2.86, 4 Co 2.86

Summary:
magnetization: 0.250 μB/atom
space group: F-43m
energy: -24.63 eV for the cell shown
crystal system: cubic
calculated volume: 17.96 Å³/atom


Record 10
GdErZn6: optimized geometry, GGA-PBE.

Cell: 4.6635 4.6635 6.6107 Å, 90.00 90.00 90.00°
Closest atoms and distances in Å follow each position.
Positions (direct):
Zn 0.0000 0.5000 0.2469  2 Er 2.85, 4 Zn 2.85-2.87, 2 Gd 2.87
Gd 0.5000 0.5000 0.5000  8 Zn 2.87
Zn 0.5000 0.0000 0.2469  2 Er 2.85, 4 Zn 2.85-2.87, 2 Gd 2.87
Zn 0.0000 0.5000 0.7531  2 Er 2.85, 4 Zn 2.85-2.87, 2 Gd 2.87
Zn 0.5000 0.0000 0.7531  2 Er 2.85, 4 Zn 2.85-2.87, 2 Gd 2.87
Zn 0.0000 0.0000 0.5000  8 Zn 2.87
Er 0.0000 0.0000 0.0000  8 Zn 2.85
Zn 0.5000 0.5000 0.0000  8 Zn 2.85

Summary:
magnetization: 0.000 μB/atom
space group: P4/mmm
crystal system: tetragonal
calculated volume: 17.97 Å³/atom
formation energy: -0.29 eV per atom


Record 11
ScUSi: optimized geometry, GGA-PBE.

Cell: 4.7350 4.7350 4.7350 Å, 60.00 60.00 60.00°
Closest atoms and distances in Å follow each position.
Positions (direct):
Sc 0.2500 0.2500 0.2500  4 U 2.90
U 0.0000 0.0000 0.0000  4 Si 2.90, 4 Sc 2.90
Si 0.7500 0.7500 0.7500  4 U 2.90

Summary:
magnetization: 1.625 μB/atom
space group: F-43m
distance to the lowest polymorph of the same formula: 663 meV/atom
crystal system: cubic
calculated volume: 25.02 Å³/atom


Record 12
Ba2OsAuO6: optimized geometry, GGA-PBE.

Cell: 5.8666 5.8666 5.8666 Å, 62.07 62.07 62.07°
Closest atoms and distances in Å follow each position.
Positions (direct):
O 0.7949 0.3042 0.6520  1 Os 1.95
Ba 0.2432 0.2432 0.2432  6 O 2.61-2.87
Ba 0.7440 0.7440 0.7440  6 O 2.72-2.73
O 0.7277 0.3292 0.2249  1 Os 1.89
Os 0.4977 0.4977 0.4977  6 O 1.89-1.95
Au 0.9782 0.9782 0.9782  3 O 2.25
O 0.6520 0.7949 0.3042  1 Os 1.95
O 0.3292 0.2249 0.7277  1 Os 1.89
O 0.2249 0.7277 0.3292  1 Os 1.89
O 0.3042 0.6520 0.7949  1 Os 1.95

Summary:
magnetization: 0.100 μB/atom
space group: R3
energy: -63.25 eV for the cell shown
crystal system: trigonal
calculated volume: 14.94 Å³/atom


For the records above, the corresponding calculated density values read 6.13; 5.63; 7.76; 12.92; 9.54; 11.18; 6.67; 5.72; 6.19; 8.28; 6.88; 8.42 Mg/m³.